w | TlCdHg: optimized geometry, GGA-PBE.

Summary:
* volume: 322.20 Å³/cell

Cell and atoms, written as CIF:
```
data_TlCdHg
_chemical_formula_sum 'Tl4 Cd4 Hg4'
_symmetry_space_group_name_H-M 'P n m a'
_symmetry_Int_Tables_number 62
_symmetry_space_group_name_Hall '-P 2ac 2n'
_cell_length_a 6.919
_cell_length_b 4.729
_cell_length_c 9.848
_cell_angle_alpha 90.00
_cell_angle_beta 90.00
_cell_angle_gamma 90.00
loop_
_atom_site_label
_atom_site_type_symbol
_atom_site_fract_x
_atom_site_fract_y
_atom_site_fract_z
Tl1 Tl 0.122 0.250 0.093
Cd1 Cd 0.138 0.250 0.751
Hg1 Hg 0.118 0.250 0.424
```

x | TlCdHg: optimized geometry, GGA-PBE.

Summary:
* volume: 373.40 Å³/cell

Cell and atoms, written as CIF:
```
data_TlCdHg
_chemical_formula_sum 'Tl4 Cd4 Hg4'
_symmetry_space_group_name_H-M 'F -4 3 m'
_symmetry_Int_Tables_number 216
_symmetry_space_group_name_Hall 'F -4 2 3'
_cell_length_a 7.201
_cell_length_b 7.201
_cell_length_c 7.201
_cell_angle_alpha 90.00
_cell_angle_beta 90.00
_cell_angle_gamma 90.00
loop_
_atom_site_label
_atom_site_type_symbol
_atom_site_fract_x
_atom_site_fract_y
_atom_site_fract_z
Tl1 Tl 0.000 0.000 0.000
Cd1 Cd 0.250 0.250 0.750
Hg1 Hg 0.250 0.250 0.250
```

The structure with the greatest stability is w.